1.
A relaxed structure of La8Ir2Pb, computed with PBE.

Properties
energy of formation from the pure elements	-0.406	eV per atom
symmetry	C2/m (12)
E	-5.938	eV/atom

a b c (Å): 5.710 8.423 8.423
angles (deg): 115.95 97.05 97.05
Fractional positions:
La  0.702  0.404  0.404
La  0.500  0.749  0.251
La  0.500  0.251  0.749
La  0.298  0.596  0.596
La  0.949  0.671  0.919
La  0.051  0.329  0.081
La  0.949  0.919  0.671
La  0.051  0.081  0.329
Ir  0.000  0.291  0.709
Ir  0.000  0.709  0.291
Pb  0.500  0.000  0.000

2.
A relaxed structure of Lu2AlPd, computed with PBE.

Properties
energy of formation from the pure elements	-0.682	eV per atom
symmetry	P4/mmm (123)
offset from the most stable computed form	0.000	eV/atom
E	-5.176	eV/atom

a b c (Å): 3.506 3.506 6.891
angles (deg): 90.00 90.00 90.00
Fractional positions:
Al  0.500  0.500  0.500
Pd  0.500  0.500  0.000
Lu  0.000  0.000  0.761
Lu  0.000  0.000  0.239

3.
A relaxed structure of ZnPd2Se2, computed with PBE.

Properties
symmetry	P4/mbm (127)
raw formation energy	-76	meV per atom
E	-3.802	eV/atom

a b c (Å): 7.032 7.032 3.688
angles (deg): 90.00 90.00 90.00
Fractional positions:
Se  0.669  0.169  0.000
Se  0.331  0.831  0.000
Se  0.169  0.331  0.000
Se  0.831  0.669  0.000
Pd  0.645  0.855  0.500
Pd  0.145  0.645  0.500
Pd  0.355  0.145  0.500
Pd  0.855  0.355  0.500
Zn  0.500  0.500  0.000
Zn  0.000  0.000  0.000